Record 1
Compound: Tb6DyY
Source: Alexandria via LeMat-Bulk
Functional: GGA-PBE
Structure: optimized geometry

Values from the calculation:
Raw total energy: -4.84 eV per atom
Energy above the most stable polymorph in this dataset: 0 meV per atom

a = 5.036 Å, b = 5.036 Å, c = 10.072 Å
α = 90.00°, β = 90.00°, γ = 90.00°
Element x y z (fractional)
1 Tb 0.000 0.000 0.000
2 Tb 0.000 0.000 0.500
3 Tb 0.000 0.500 0.249
4 Tb 0.000 0.500 0.751
5 Tb 0.500 0.000 0.249
6 Tb 0.500 0.000 0.751
7 Dy 0.500 0.500 0.000
8 Y 0.500 0.500 0.500


Record 2
Compound: Tm5AgPd2
Source: Alexandria via LeMat-Bulk
Functional: GGA-PBE
Structure: optimized geometry

Values from the calculation:
Raw total energy: -5.01 eV per atom

a = 8.553 Å, b = 8.553 Å, c = 8.553 Å
α = 126.60°, β = 126.60°, γ = 78.91°
Element x y z (fractional)
1 Tm 0.000 0.000 0.000
2 Tm 0.017 0.517 0.819
3 Tm 0.198 0.017 0.500
4 Tm 0.302 0.802 0.819
5 Tm 0.483 0.302 0.500
6 Tm 0.500 0.500 0.000
7 Tm 0.517 0.698 0.500
8 Tm 0.698 0.198 0.181
9 Tm 0.802 0.983 0.500
10 Tm 0.983 0.483 0.181
11 Ag 0.250 0.250 0.000
12 Ag 0.750 0.750 0.000
13 Pd 0.135 0.365 0.500
14 Pd 0.365 0.865 0.229
15 Pd 0.635 0.135 0.771
16 Pd 0.865 0.635 0.500


Record 3
Compound: BeSiCl
Source: Alexandria via LeMat-Bulk
Functional: GGA-PBE
Structure: optimized geometry

Values from the calculation:
Raw total energy: -3.90 eV per atom
Energy above the most stable polymorph in this dataset: 33 meV per atom
Formation energy without anion corrections: -69 kJ/mol of formula units

a = 7.162 Å, b = 7.162 Å, c = 4.768 Å
α = 98.28°, β = 98.28°, γ = 28.77°
Element x y z (fractional)
1 Be 0.000 0.000 0.000
2 Be 0.731 0.731 0.706
3 Si 0.048 0.048 0.484
4 Si 0.577 0.577 0.813
5 Cl 0.243 0.243 0.462
6 Cl 0.852 0.852 0.003


Record 4
Compound: Cs2CdHgCl6
Source: Alexandria via LeMat-Bulk
Functional: GGA-PBE
Structure: optimized geometry

Values from the calculation:
Raw total energy: -2.72 eV per atom
Formation energy without anion corrections: -1275 kJ/mol of formula units

a = 7.632 Å, b = 7.632 Å, c = 7.632 Å
α = 119.14°, β = 119.14°, γ = 91.50°
Element x y z (fractional)
1 Cs 0.250 0.750 0.500
2 Cs 0.750 0.250 0.500
3 Cd 0.000 0.000 0.000
4 Hg 0.500 0.500 0.000
5 Cl 0.236 0.236 0.473
6 Cl 0.236 0.764 0.000
7 Cl 0.269 0.269 0.000
8 Cl 0.731 0.731 0.000
9 Cl 0.764 0.236 0.000
10 Cl 0.764 0.764 0.527


Record 5
Compound: NaMg4Pb6
Source: Alexandria via LeMat-Bulk
Functional: GGA-PBE
Structure: optimized geometry

Values from the calculation:
Raw total energy: -2.70 eV per atom

a = 7.813 Å, b = 7.813 Å, c = 7.813 Å
α = 119.90°, β = 119.90°, γ = 90.17°
Element x y z (fractional)
1 Na 0.000 0.000 0.000
2 Mg 0.255 0.255 0.713
3 Mg 0.458 0.745 0.000
4 Mg 0.542 0.542 0.287
5 Mg 0.745 0.458 0.000
6 Pb 0.000 0.500 0.500
7 Pb 0.102 0.559 0.000
8 Pb 0.441 0.441 0.543
9 Pb 0.500 0.000 0.500
10 Pb 0.559 0.102 0.000
11 Pb 0.898 0.898 0.457


Record 6
Compound: BaNa2SrTc
Source: Alexandria via LeMat-Bulk
Functional: GGA-PBE
Structure: optimized geometry

Values from the calculation:
Raw total energy: -2.53 eV per atom

a = 5.980 Å, b = 5.980 Å, c = 5.338 Å
α = 90.00°, β = 90.00°, γ = 90.00°
Element x y z (fractional)
1 Ba 0.000 0.000 0.000
2 Na 0.000 0.500 0.500
3 Na 0.500 0.000 0.500
4 Sr 0.500 0.500 0.000
5 Tc 0.000 0.000 0.500


Record 7
Compound: Be2ReHg
Source: Alexandria via LeMat-Bulk
Functional: GGA-PBE
Structure: optimized geometry

Values from the calculation:
Raw total energy: -4.64 eV per atom

a = 4.769 Å, b = 4.769 Å, c = 4.408 Å
α = 105.93°, β = 105.93°, γ = 33.21°
Element x y z (fractional)
1 Be 0.000 0.000 0.000
2 Be 0.716 0.716 0.333
3 Re 0.252 0.252 0.876
4 Hg 0.472 0.472 0.489


Record 8
Compound: K2CaAg
Source: Alexandria via LeMat-Bulk
Functional: GGA-PBE
Structure: optimized geometry

Values from the calculation:
Raw total energy: -1.60 eV per atom
Energy above the most stable polymorph in this dataset: 176 meV per atom

a = 5.032 Å, b = 5.055 Å, c = 6.242 Å
α = 90.00°, β = 90.00°, γ = 90.00°
Element x y z (fractional)
1 K 0.000 0.000 0.000
2 K 0.500 0.500 0.000
3 Ca 0.000 0.500 0.500
4 Ag 0.500 0.000 0.500


Which formula does entry 7 have?
Be2ReHg